{"formula": "Sr2AgRh", "functional": "meta-GGA SCAN", "state": "single point on PBEsol structure", "lattice": [[3.588, 0.000, 0.000], [0.000, 3.588, 0.000], [0.000, 0.000, 7.774]], "species": ["Sr", "Sr", "Ag", "Rh"], "frac_coords": [[0.000, 0.000, 0.225], [0.000, 0.000, 0.775], [0.500, 0.500, 0.500], [0.500, 0.500, 0.000]], "formation_energy_mev_per_atom": -202.7, "m_tot_mub_per_fu": 0.00, "mass_density_g_cm3": 6.4, "space_group": "P4/mmm", "final_energy_ev_per_atom": -27.625}

{"formula": "ReSeN2Cl", "functional": "meta-GGA SCAN", "state": "single point on PBEsol structure", "lattice": [[3.734, 0.000, 0.000], [0.000, 3.734, 0.000], [0.000, 0.000, 4.589]], "species": ["Re", "Se", "N", "N", "Cl"], "frac_coords": [[0.000, 0.000, 0.000], [0.500, 0.500, 0.000], [0.000, 0.500, 0.500], [0.500, 0.000, 0.500], [0.500, 0.500, 0.500]], "m_tot_mub_per_fu": 2.01, "mass_density_g_cm3": 8.5, "space_group": "P4/mmm", "final_energy_ev_per_atom": -20.698, "raw_formation_energy_ev_per_atom": 2.85}

{"formula": "PRhAuO2", "functional": "meta-GGA SCAN", "state": "single point on PBEsol structure", "lattice": [[3.754, 0.000, 0.000], [0.000, 3.754, 0.000], [0.000, 0.000, 5.296]], "species": ["P", "Rh", "Au", "O", "O"], "frac_coords": [[0.000, 0.000, 0.000], [0.500, 0.500, 0.000], [0.000, 0.000, 0.500], [0.000, 0.500, 0.500], [0.500, 0.000, 0.500]], "m_tot_mub_per_fu": 0.33, "mass_density_g_cm3": 8.1, "space_group": "P4/mmm", "final_energy_ev_per_atom": -24.407, "raw_formation_energy_ev_per_atom": 0.75}

{"formula": "CrSnIrPd2", "functional": "meta-GGA SCAN", "state": "single point on PBEsol structure", "lattice": [[4.549, 0.000, 0.000], [0.000, 4.549, 0.000], [0.000, 0.000, 4.454]], "species": ["Cr", "Sn", "Ir", "Pd", "Pd"], "frac_coords": [[0.000, 0.000, 0.000], [0.500, 0.500, 0.500], [0.000, 0.000, 0.500], [0.000, 0.500, 0.000], [0.500, 0.000, 0.000]], "formation_energy_mev_per_atom": 892.0, "m_tot_mub_per_fu": 0.01, "mass_density_g_cm3": 10.4, "space_group": "P4/mmm", "final_energy_ev_per_atom": -37.299}

{"formula": "Li2MnP2O7", "functional": "meta-GGA SCAN", "state": "single point on PBEsol structure", "lattice": [[5.068, 0.000, 0.000], [0.000, 13.596, 0.000], [-4.676, 0.000, 7.853]], "species": ["Li", "Li", "Li", "Li", "Li", "Li", "Li", "Li", "Mn", "Mn", "Mn", "Mn", "P", "P", "P", "P", "P", "P", "P", "P", "O", "O", "O", "O", "O", "O", "O", "O", "O", "O", "O", "O", "O", "O", "O", "O", "O", "O", "O", "O", "O", "O", "O", "O", "O", "O", "O", "O"], "frac_coords": [[0.043, 0.097, 0.360], [0.043, 0.403, 0.860], [0.423, 0.193, 0.171], [0.423, 0.307, 0.671], [0.577, 0.693, 0.329], [0.577, 0.807, 0.829], [0.957, 0.597, 0.140], [0.957, 0.903, 0.640], [0.016, 0.163, 0.728], [0.016, 0.337, 0.228], [0.984, 0.663, 0.772], [0.984, 0.837, 0.272], [0.277, 0.673, 0.533], [0.277, 0.827, 0.033], [0.484, 0.525, 0.782], [0.484, 0.975, 0.282], [0.516, 0.025, 0.718], [0.516, 0.475, 0.218], [0.723, 0.173, 0.967], [0.723, 0.327, 0.467], [0.002, 0.186, 0.147], [0.002, 0.314, 0.647], [0.227, 0.726, 0.665], [0.227, 0.774, 0.165], [0.229, 0.530, 0.825], [0.229, 0.970, 0.325], [0.262, 0.102, 0.620], [0.262, 0.398, 0.120], [0.310, 0.558, 0.579], [0.310, 0.942, 0.079], [0.389, 0.576, 0.213], [0.389, 0.924, 0.713], [0.422, 0.203, 0.956], [0.422, 0.297, 0.456], [0.578, 0.703, 0.544], [0.578, 0.797, 0.044], [0.611, 0.076, 0.287], [0.611, 0.424, 0.787], [0.690, 0.058, 0.921], [0.690, 0.442, 0.421], [0.738, 0.602, 0.880], [0.738, 0.898, 0.380], [0.771, 0.030, 0.675], [0.771, 0.470, 0.175], [0.773, 0.226, 0.835], [0.773, 0.274, 0.335], [0.998, 0.686, 0.353], [0.998, 0.814, 0.853]], "m_tot_mub_per_fu": 5.00, "mass_density_g_cm3": 3.0, "space_group": "P2_1/c", "final_energy_ev_per_atom": -9.780, "raw_formation_energy_ev_per_atom": -2.49, "e_above_lowest_polymorph_mev_per_atom": 18}

{"formula": "HoPt3", "functional": "meta-GGA SCAN", "state": "single point on PBEsol structure", "lattice": [[4.045, 0.000, 0.000], [0.000, 4.045, 0.000], [0.000, 0.000, 4.045]], "species": ["Ho", "Pt", "Pt", "Pt"], "frac_coords": [[0.000, 0.000, 0.000], [0.000, 0.500, 0.500], [0.500, 0.000, 0.500], [0.500, 0.500, 0.000]], "formation_energy_mev_per_atom": -1170.4, "m_tot_mub_per_fu": 0.00, "mass_density_g_cm3": 18.8, "space_group": "Pm-3m", "final_energy_ev_per_atom": -66.062}

{"formula": "Ni3Mo3N", "functional": "meta-GGA SCAN", "state": "single point on PBEsol structure", "lattice": [[0.000, 5.440, 5.440], [5.440, 0.000, 5.440], [5.440, 5.440, 0.000]], "species": ["Ni", "Ni", "Ni", "Ni", "Ni", "Ni", "Ni", "Ni", "Ni", "Ni", "Ni", "Ni", "Mo", "Mo", "Mo", "Mo", "Mo", "Mo", "Mo", "Mo", "Mo", "Mo", "Mo", "Mo", "N", "N", "N", "N"], "frac_coords": [[0.000, 0.000, 0.000], [0.000, 0.000, 0.500], [0.000, 0.500, 0.000], [0.129, 0.790, 0.790], [0.210, 0.210, 0.210], [0.210, 0.210, 0.871], [0.210, 0.871, 0.210], [0.500, 0.000, 0.000], [0.790, 0.129, 0.790], [0.790, 0.790, 0.129], [0.790, 0.790, 0.790], [0.871, 0.210, 0.210], [0.171, 0.171, 0.579], [0.171, 0.579, 0.171], [0.171, 0.579, 0.579], [0.421, 0.421, 0.829], [0.421, 0.829, 0.421], [0.421, 0.829, 0.829], [0.579, 0.171, 0.171], [0.579, 0.171, 0.579], [0.579, 0.579, 0.171], [0.829, 0.421, 0.421], [0.829, 0.421, 0.829], [0.829, 0.829, 0.421], [0.000, 0.500, 0.500], [0.500, 0.000, 0.500], [0.500, 0.500, 0.000], [0.500, 0.500, 0.500]], "m_tot_mub_per_fu": 0.00, "mass_density_g_cm3": 9.9, "space_group": "Fd-3m", "final_energy_ev_per_atom": -23.400, "raw_formation_energy_ev_per_atom": -0.19}

{"formula": "Mn2SiTcS", "functional": "meta-GGA SCAN", "state": "single point on PBEsol structure", "lattice": [[4.351, 0.000, 0.000], [0.000, 4.351, 0.000], [0.000, 0.000, 4.419]], "species": ["Mn", "Mn", "Si", "Tc", "S"], "frac_coords": [[0.000, 0.500, 0.000], [0.500, 0.000, 0.000], [0.000, 0.000, 0.000], [0.500, 0.500, 0.500], [0.000, 0.000, 0.500]], "m_tot_mub_per_fu": 9.86, "mass_density_g_cm3": 5.3, "space_group": "P4/mmm", "final_energy_ev_per_atom": -17.249, "raw_formation_energy_ev_per_atom": 0.99}

{"formula": "GaFeRh3", "functional": "meta-GGA SCAN", "state": "single point on PBEsol structure", "lattice": [[4.350, 0.000, 0.000], [0.000, 4.350, 0.000], [0.000, 0.000, 4.350]], "species": ["Ga", "Fe", "Rh", "Rh", "Rh"], "frac_coords": [[0.000, 0.000, 0.000], [0.500, 0.500, 0.500], [0.000, 0.500, 0.500], [0.500, 0.000, 0.500], [0.500, 0.500, 0.000]], "formation_energy_mev_per_atom": 1042.0, "m_tot_mub_per_fu": 0.00, "mass_density_g_cm3": 8.8, "space_group": "Pm-3m", "final_energy_ev_per_atom": -26.116}

{"formula": "Ca2LaAs2", "functional": "meta-GGA SCAN", "state": "single point on PBEsol structure", "lattice": [[4.425, 0.000, 0.000], [0.000, 4.425, 0.000], [0.000, 0.000, 13.001]], "species": ["Ca", "Ca", "Ca", "Ca", "La", "La", "As", "As", "As", "As"], "frac_coords": [[0.000, 0.500, 0.250], [0.000, 0.500, 0.750], [0.500, 0.000, 0.250], [0.500, 0.000, 0.750], [0.000, 0.000, 0.000], [0.500, 0.500, 0.500], [0.000, 0.000, 0.396], [0.000, 0.000, 0.604], [0.500, 0.500, 0.104], [0.500, 0.500, 0.896]], "formation_energy_mev_per_atom": -1007.9, "m_tot_mub_per_fu": 0.00, "mass_density_g_cm3": 4.8, "space_group": "I4/mmm", "final_energy_ev_per_atom": -21.571}

{"formula": "LiAl2Ag", "functional": "meta-GGA SCAN", "state": "single point on PBEsol structure", "lattice": [[2.834, 0.000, 0.000], [0.000, 2.834, 0.000], [0.000, 0.000, 8.058]], "species": ["Li", "Al", "Al", "Ag"], "frac_coords": [[0.000, 0.000, 0.000], [0.000, 0.000, 0.507], [0.500, 0.500, 0.260], [0.500, 0.500, 0.747]], "formation_energy_mev_per_atom": -92.3, "m_tot_mub_per_fu": 0.00, "mass_density_g_cm3": 4.3, "space_group": "P4mm", "final_energy_ev_per_atom": -12.407, "e_above_lowest_polymorph_mev_per_atom": 93}

{"formula": "Be2TcPb", "functional": "meta-GGA SCAN", "state": "single point on PBEsol structure", "lattice": [[3.975, 0.000, 0.000], [0.000, 3.975, 0.000], [0.000, 0.000, 3.383]], "species": ["Be", "Be", "Tc", "Pb"], "frac_coords": [[0.000, 0.500, 0.000], [0.500, 0.000, 0.000], [0.000, 0.000, 0.500], [0.500, 0.500, 0.500]], "formation_energy_mev_per_atom": 397.2, "m_tot_mub_per_fu": 0.00, "mass_density_g_cm3": 10.0, "space_group": "P4/mmm", "final_energy_ev_per_atom": -29.490}

{"formula": "KInSbI2", "functional": "meta-GGA SCAN", "state": "single point on PBEsol structure", "lattice": [[6.347, 0.000, 0.000], [0.000, 6.347, 0.000], [0.000, 0.000, 6.283]], "species": ["K", "In", "Sb", "I", "I"], "frac_coords": [[0.000, 0.000, 0.000], [0.500, 0.500, 0.500], [0.000, 0.000, 0.500], [0.000, 0.500, 0.000], [0.500, 0.000, 0.000]], "m_tot_mub_per_fu": 3.00, "mass_density_g_cm3": 3.5, "space_group": "P4/mmm", "final_energy_ev_per_atom": -30.433, "raw_formation_energy_ev_per_atom": 0.06}

{"formula": "Be2AgMo", "functional": "meta-GGA SCAN", "state": "single point on PBEsol structure", "lattice": [[2.682, 0.000, 0.000], [0.000, 2.682, 0.000], [0.000, 0.000, 6.717]], "species": ["Be", "Be", "Ag", "Mo"], "frac_coords": [[0.000, 0.000, 0.244], [0.000, 0.000, 0.756], [0.500, 0.500, 0.000], [0.500, 0.500, 0.500]], "formation_energy_mev_per_atom": 74.8, "m_tot_mub_per_fu": 0.00, "mass_density_g_cm3": 7.6, "space_group": "P4/mmm", "final_energy_ev_per_atom": -18.665, "e_above_lowest_polymorph_mev_per_atom": 0}

{"formula": "Hf6Al16Rh7", "functional": "meta-GGA SCAN", "state": "single point on PBEsol structure", "lattice": [[0.000, 6.088, 6.088], [6.088, 0.000, 6.088], [6.088, 6.088, 0.000]], "species": ["Hf", "Hf", "Hf", "Hf", "Hf", "Hf", "Al", "Al", "Al", "Al", "Al", "Al", "Al", "Al", "Al", "Al", "Al", "Al", "Al", "Al", "Al", "Al", "Rh", "Rh", "Rh", "Rh", "Rh", "Rh", "Rh"], "frac_coords": [[0.185, 0.185, 0.815], [0.185, 0.815, 0.185], [0.185, 0.815, 0.815], [0.815, 0.185, 0.185], [0.815, 0.185, 0.815], [0.815, 0.815, 0.185], [0.141, 0.620, 0.620], [0.162, 0.162, 0.162], [0.162, 0.162, 0.513], [0.162, 0.513, 0.162], [0.380, 0.380, 0.380], [0.380, 0.380, 0.859], [0.380, 0.859, 0.380], [0.487, 0.838, 0.838], [0.513, 0.162, 0.162], [0.620, 0.141, 0.620], [0.620, 0.620, 0.141], [0.620, 0.620, 0.620], [0.838, 0.487, 0.838], [0.838, 0.838, 0.487], [0.838, 0.838, 0.838], [0.859, 0.380, 0.380], [0.000, 0.000, 0.500], [0.000, 0.500, 0.000], [0.000, 0.500, 0.500], [0.500, 0.000, 0.000], [0.500, 0.000, 0.500], [0.500, 0.500, 0.000], [0.500, 0.500, 0.500]], "formation_energy_mev_per_atom": -948.9, "m_tot_mub_per_fu": 0.00, "mass_density_g_cm3": 8.2, "space_group": "Fm-3m", "final_energy_ev_per_atom": -26.344}

{"formula": "LiYSn3", "functional": "meta-GGA SCAN", "state": "single point on PBEsol structure", "lattice": [[4.936, 0.000, 0.000], [0.000, 4.936, 0.000], [0.000, 0.000, 4.936]], "species": ["Li", "Y", "Sn", "Sn", "Sn"], "frac_coords": [[0.000, 0.000, 0.000], [0.500, 0.500, 0.500], [0.000, 0.000, 0.500], [0.000, 0.500, 0.000], [0.500, 0.000, 0.000]], "formation_energy_mev_per_atom": -154.6, "m_tot_mub_per_fu": 0.00, "mass_density_g_cm3": 6.2, "space_group": "Pm-3m", "final_energy_ev_per_atom": -27.754}

{"formula": "ZrTaH3", "functional": "meta-GGA SCAN", "state": "single point on PBEsol structure", "lattice": [[3.630, 0.000, 0.000], [0.000, 3.630, 0.000], [0.000, 0.000, 3.630]], "species": ["Zr", "Ta", "H", "H", "H"], "frac_coords": [[0.000, 0.000, 0.000], [0.500, 0.500, 0.500], [0.000, 0.000, 0.500], [0.000, 0.500, 0.000], [0.500, 0.000, 0.000]], "m_tot_mub_per_fu": 0.00, "mass_density_g_cm3": 9.6, "space_group": "Pm-3m", "final_energy_ev_per_atom": -21.273}

{"formula": "K2ZrFeP3O12", "functional": "meta-GGA SCAN", "state": "single point on PBEsol structure", "lattice": [[10.103, 0.000, 0.000], [0.000, 10.103, 0.000], [0.000, 0.000, 10.103]], "species": ["K", "K", "K", "K", "K", "K", "K", "K", "Zr", "Zr", "Zr", "Zr", "Fe", "Fe", "Fe", "Fe", "P", "P", "P", "P", "P", "P", "P", "P", "P", "P", "P", "P", "O", "O", "O", "O", "O", "O", "O", "O", "O", "O", "O", "O", "O", "O", "O", "O", "O", "O", "O", "O", "O", "O", "O", "O", "O", "O", "O", "O", "O", "O", "O", "O", "O", "O", "O", "O", "O", "O", "O", "O", "O", "O", "O", "O", "O", "O", "O", "O"], "frac_coords": [[0.051, 0.051, 0.051], [0.187, 0.313, 0.687], [0.313, 0.687, 0.187], [0.449, 0.949, 0.551], [0.551, 0.449, 0.949], [0.687, 0.187, 0.313], [0.813, 0.813, 0.813], [0.949, 0.551, 0.449], [0.165, 0.665, 0.835], [0.335, 0.335, 0.335], [0.665, 0.835, 0.165], [0.835, 0.165, 0.665], [0.106, 0.894, 0.394], [0.394, 0.106, 0.894], [0.606, 0.606, 0.606], [0.894, 0.394, 0.106], [0.018, 0.205, 0.370], [0.130, 0.982, 0.705], [0.205, 0.370, 0.018], [0.295, 0.630, 0.518], [0.370, 0.018, 0.205], [0.482, 0.795, 0.870], [0.518, 0.295, 0.630], [0.630, 0.518, 0.295], [0.705, 0.130, 0.982], [0.795, 0.870, 0.482], [0.870, 0.482, 0.795], [0.982, 0.705, 0.130], [0.001, 0.560, 0.772], [0.014, 0.059, 0.328], [0.049, 0.792, 0.234], [0.059, 0.328, 0.014], [0.060, 0.728, 0.999], [0.102, 0.839, 0.751], [0.161, 0.251, 0.398], [0.172, 0.986, 0.559], [0.208, 0.734, 0.451], [0.228, 0.501, 0.940], [0.234, 0.049, 0.792], [0.249, 0.602, 0.661], [0.251, 0.398, 0.161], [0.266, 0.951, 0.292], [0.272, 0.499, 0.440], [0.292, 0.266, 0.951], [0.328, 0.014, 0.059], [0.339, 0.749, 0.898], [0.398, 0.161, 0.251], [0.440, 0.272, 0.499], [0.441, 0.672, 0.514], [0.451, 0.208, 0.734], [0.486, 0.941, 0.828], [0.499, 0.440, 0.272], [0.501, 0.940, 0.228], [0.514, 0.441, 0.672], [0.549, 0.708, 0.766], [0.559, 0.172, 0.986], [0.560, 0.772, 0.001], [0.602, 0.661, 0.249], [0.661, 0.249, 0.602], [0.672, 0.514, 0.441], [0.708, 0.766, 0.549], [0.728, 0.999, 0.060], [0.734, 0.451, 0.208], [0.749, 0.898, 0.339], [0.751, 0.102, 0.839], [0.766, 0.549, 0.708], [0.772, 0.001, 0.560], [0.792, 0.234, 0.049], [0.828, 0.486, 0.941], [0.839, 0.751, 0.102], [0.898, 0.339, 0.749], [0.940, 0.228, 0.501], [0.941, 0.828, 0.486], [0.951, 0.292, 0.266], [0.986, 0.559, 0.172], [0.999, 0.060, 0.728]], "m_tot_mub_per_fu": 4.94, "mass_density_g_cm3": 3.3, "space_group": "P2_13", "final_energy_ev_per_atom": -11.711, "raw_formation_energy_ev_per_atom": -2.69}

{"formula": "Sr2CrRu", "functional": "meta-GGA SCAN", "state": "single point on PBEsol structure", "lattice": [[3.358, 0.000, 0.000], [0.000, 3.358, 0.000], [0.000, 0.000, 9.057]], "species": ["Sr", "Sr", "Cr", "Ru"], "frac_coords": [[0.000, 0.000, 0.000], [0.500, 0.500, 0.400], [0.000, 0.000, 0.662], [0.500, 0.500, 0.744]], "formation_energy_mev_per_atom": 401.3, "m_tot_mub_per_fu": 2.80, "mass_density_g_cm3": 5.3, "space_group": "P4mm", "final_energy_ev_per_atom": -24.039, "e_above_lowest_polymorph_mev_per_atom": 225}